Record 1
YGaHg: optimized geometry, GGA-PBE.

Cell: 12.5027 4.1093 5.5051 Å, 90.00 99.33 90.00°
Space group C2/m (No. 12)
Asymmetric unit:
Y 0.1228 0.0000 0.3208 x4
Ga 0.2298 0.0000 0.8416 x4
Hg 0.0706 0.5000 0.7882 x4

Calculated values
As for the density of states at the Fermi level: 0.354 states/eV per atom. The formation energy is -0.47 eV/atom. Its magnetic moment is 0.0000 μB per atom.


Record 2
YGa3Hg: optimized geometry, GGA-PBE.

Cell: 5.1241 5.1241 5.1241 Å, 90.00 90.00 90.00°
Space group Pm-3m (No. 221)
Asymmetric unit:
Y 0.0000 0.0000 0.0000 x1
Ga 0.0000 0.5000 0.5000 x3
Hg 0.5000 0.5000 0.5000 x1

Calculated values
As for the density of states at the Fermi level: 0.631 states/eV per atom. The formation energy is 0.33 eV/atom. The distance to the lowest polymorph of the same formula is 0.0000 eV/atom. Its magnetic moment is 0.0000 μB per atom.


Record 3
YGaHg: optimized geometry, GGA-PBE.

Cell: 6.2613 4.7519 9.1515 Å, 90.00 90.00 90.00°
Space group Pnma (No. 62)
Asymmetric unit:
Y 0.1857 0.2500 0.0789 x4
Ga 0.1786 0.2500 0.4083 x4
Hg 0.0145 0.2500 0.7241 x4

Calculated values
As for the density of states at the Fermi level: 0.402 states/eV per atom. The formation energy is -0.43 eV/atom. Its magnetic moment is 0.0000 μB per atom.


Record 4
YGaHg: optimized geometry, GGA-PBE.

Cell: 6.6468 6.6468 6.6468 Å, 90.00 90.00 90.00°
Space group F-43m (No. 216)
Asymmetric unit:
Y 0.0000 0.0000 0.0000 x4
Ga 0.2500 0.2500 0.7500 x4
Hg 0.0000 0.0000 0.5000 x4

Calculated values
As for the density of states at the Fermi level: 0.265 states/eV per atom. The formation energy is -0.42 eV/atom. Its magnetic moment is 0.0000 μB per atom.


Q: Which formula does entry 2 have?
A: YGa3Hg